Here is KCaSbI6 after structural relaxation from Alexandria. Energies are from GGA-PBE.

Cell: 7.986 7.986 7.804 Å, 90.00 90.00 60.00°
Atoms (fractional coordinates):
K 0.000 0.000 0.000
Ca 0.667 0.667 0.500
Sb 0.333 0.333 0.500
I 0.009 0.363 0.271
I 0.363 0.009 0.729
I 0.628 0.363 0.729
I 0.009 0.628 0.729
I 0.363 0.628 0.271
I 0.628 0.009 0.271

Computed properties:
Energy relative to the elements, uncorrected ... -1011.8 meV per atom
Calculated total energy ... -25.6 eV per cell
V ... 47.90 A^3/atom